Computed, not measured: an optimized crystal structure of FeTc2Te at the PBE level of DFT.

Calculated values
For the energy relative to the elements, uncorrected, the calculation gives 413 meV/atom. The raw total energy is -7.671 eV/atom.

Lattice parameters (Å, degrees): 3.8896 3.8896 8.0365 90.00 90.00 90.00
Space group I-4m2 (No. 119)
Inequivalent atoms, fractional coordinates:
Fe: 0.0000 0.0000 0.0000 [2 per cell]
Tc: 0.0000 0.0000 0.5000 [2 per cell]
Tc: 0.0000 0.5000 0.7500 [2 per cell]
Te: 0.0000 0.5000 0.2500 [2 per cell]


Computed, not measured: an optimized crystal structure of FeTc2Te at the PBE level of DFT.

Calculated values
For the energy relative to the elements, uncorrected, the calculation gives 498 meV/atom. The raw total energy is -7.586 eV/atom.

Lattice parameters (Å, degrees): 3.1858 4.3552 4.4810 90.00 90.00 90.00
Space group Pmmm (No. 47)
Inequivalent atoms, fractional coordinates:
Fe: 0.0000 0.0000 0.0000 [1 per cell]
Tc: 0.0000 0.5000 0.5000 [1 per cell]
Tc: 0.5000 0.0000 0.5000 [1 per cell]
Te: 0.5000 0.5000 0.0000 [1 per cell]


Computed, not measured: an optimized crystal structure of FeTcTe at the PBE level of DFT.

Calculated values
For the energy relative to the elements, uncorrected, the calculation gives 429 meV/atom. The calculation puts the excess energy over the best structure of this formula in the dataset at 0.3475 eV per atom. The raw total energy is -6.894 eV/atom.

Lattice parameters (Å, degrees): 3.7210 3.7210 9.2855 90.00 90.00 120.00
Space group P-6m2 (No. 187)
Inequivalent atoms, fractional coordinates:
Fe: 0.0000 0.0000 0.0000 [1 per cell]
Fe: 0.3333 0.6667 0.5000 [1 per cell]
Tc: 0.3333 0.6667 0.1331 [2 per cell]
Te: 0.0000 0.0000 0.3147 [2 per cell]


Computed, not measured: an optimized crystal structure of FeTc2Te at the PBE level of DFT.

Calculated values
For the energy relative to the elements, uncorrected, the calculation gives 394 meV/atom. The raw total energy is -7.691 eV/atom.

Lattice parameters (Å, degrees): 3.2225 4.3479 8.7319 90.00 90.00 90.00
Space group Imm2 (No. 44)
Inequivalent atoms, fractional coordinates:
Fe: 0.0000 0.0000 0.0000 [2 per cell]
Tc: 0.0000 0.0000 0.5208 [2 per cell]
Tc: 0.0000 0.5000 0.7505 [2 per cell]
Te: 0.0000 0.5000 0.2680 [2 per cell]